Crystalline PaAl4Au12 at its relaxed geometry. Source: Alexandria via LeMat-Bulk, functional GGA-PBE.

Unit cell a=7.712 b=7.712 c=7.712 alpha=109.47 beta=109.47 gamma=109.47
Sites, in units of the cell vectors:
Al (0.000, 0.000, 0.500)
Au (0.184, 0.845, 0.340)
Al (0.500, 0.500, 0.500)
Al (0.000, 0.500, 0.000)
Au (0.816, 0.155, 0.660)
Au (0.155, 0.340, 0.495)
Au (0.660, 0.505, 0.845)
Au (0.505, 0.845, 0.660)
Pa (0.000, 0.000, 0.000)
Au (0.340, 0.184, 0.845)
Au (0.845, 0.660, 0.505)
Au (0.155, 0.660, 0.816)
Au (0.660, 0.816, 0.155)
Au (0.845, 0.340, 0.184)
Au (0.340, 0.495, 0.155)
Au (0.495, 0.155, 0.340)
Al (0.500, 0.000, 0.000)

total energy	-65.77	eV/cell
density	12.7	g/cm3
D(E_F)	8.8	states/eV/f.u.
SG	Im-3

Crystalline Pa2Al3Au5 at its relaxed geometry. Source: Alexandria via LeMat-Bulk, functional GGA-PBE.

Unit cell a=6.111 b=8.667 c=8.667 alpha=78.45 beta=69.35 gamma=69.35
Sites, in units of the cell vectors:
Pa (0.633, 0.138, 0.596)
Au (0.100, 0.061, 0.740)
Al (0.134, 0.248, 0.485)
Au (0.600, 0.740, 0.061)
Au (0.750, 0.500, 0.500)
Au (0.400, 0.260, 0.939)
Au (0.250, 0.500, 0.500)
Au (0.900, 0.939, 0.260)
Al (0.366, 0.515, 0.752)
Al (0.750, 0.000, 0.000)
Pa (0.867, 0.404, 0.862)
Pa (0.367, 0.862, 0.404)
Au (0.484, 0.766, 0.766)
Al (0.634, 0.485, 0.248)
Pa (0.133, 0.596, 0.138)
Au (0.516, 0.234, 0.234)
Al (0.250, 0.000, 0.000)
Au (0.016, 0.234, 0.234)
Al (0.866, 0.752, 0.515)
Au (0.984, 0.766, 0.766)

total energy	-101.34	eV/cell
density	12.7	g/cm3
D(E_F)	9.7	states/eV/f.u.
SG	Ibam

Crystalline PaAl2Au6 at its relaxed geometry. Source: Alexandria via LeMat-Bulk, functional GGA-PBE.

Unit cell a=4.524 b=7.345 c=7.345 alpha=56.69 beta=70.85 gamma=70.85
Sites, in units of the cell vectors:
Au (0.500, 0.281, 0.719)
Au (0.173, 0.528, 0.118)
Au (0.827, 0.472, 0.882)
Al (0.316, 0.688, 0.688)
Pa (0.000, 0.000, 0.000)
Al (0.684, 0.312, 0.312)
Au (0.173, 0.118, 0.528)
Au (0.500, 0.719, 0.281)
Au (0.827, 0.882, 0.472)

total energy	-38.75	eV/cell
density	12.9	g/cm3
D(E_F)	6.2	states/eV/f.u.
SG	C2/m

Crystalline Pa2AlAu3 at its relaxed geometry. Source: Alexandria via LeMat-Bulk, functional GGA-PBE.

Unit cell a=5.723 b=5.723 c=8.855 alpha=101.46 beta=101.46 gamma=112.64
Sites, in units of the cell vectors:
Au (0.171, 0.171, 0.343)
Pa (0.238, 0.238, 0.000)
Pa (0.762, 0.762, 0.000)
Pa (0.250, 0.750, 0.500)
Au (0.175, 0.654, 0.829)
Au (0.346, 0.825, 0.171)
Au (0.654, 0.175, 0.829)
Pa (0.750, 0.250, 0.500)
Al (0.334, 0.334, 0.667)
Au (0.825, 0.346, 0.171)
Au (0.829, 0.829, 0.657)
Al (0.666, 0.666, 0.333)

total energy	-70.65	eV/cell
density	14.4	g/cm3
D(E_F)	7.6	states/eV/f.u.
SG	Fmmm

Crystalline Pa3Al3Au2 at its relaxed geometry. Source: Alexandria via LeMat-Bulk, functional GGA-PBE.

Unit cell a=4.447 b=5.720 c=14.653 alpha=90.00 beta=90.00 gamma=112.88
Sites, in units of the cell vectors:
Au (0.211, 0.423, 0.103)
Pa (0.356, 0.713, 0.750)
Au (0.789, 0.577, 0.897)
Pa (0.921, 0.841, 0.381)
Pa (0.644, 0.287, 0.250)
Al (0.615, 0.230, 0.463)
Pa (0.921, 0.841, 0.119)
Au (0.789, 0.577, 0.603)
Al (0.385, 0.770, 0.963)
Pa (0.079, 0.159, 0.619)
Al (0.385, 0.770, 0.537)
Al (0.640, 0.281, 0.750)
Pa (0.079, 0.159, 0.881)
Al (0.615, 0.230, 0.037)
Au (0.211, 0.423, 0.397)
Al (0.360, 0.719, 0.250)

total energy	-97.75	eV/cell
density	11.3	g/cm3
D(E_F)	10.1	states/eV/f.u.
SG	Cmcm

Crystalline Pa3Al2Au4 at its relaxed geometry. Source: Alexandria via LeMat-Bulk, functional GGA-PBE.

Unit cell a=4.732 b=5.771 c=8.780 alpha=118.03 beta=90.00 gamma=114.20
Sites, in units of the cell vectors:
Al (0.618, 0.236, 0.286)
Pa (0.339, 0.679, 0.327)
Au (0.696, 0.392, 0.041)
Au (0.304, 0.608, 0.959)
Au (0.918, 0.836, 0.593)
Al (0.382, 0.764, 0.714)
Pa (0.000, 0.000, 0.000)
Pa (0.661, 0.321, 0.673)
Au (0.082, 0.164, 0.407)

total energy	-53.08	eV/cell
density	13.6	g/cm3
D(E_F)	13.0	states/eV/f.u.
SG	C2/m

Crystalline Pa2Al8Au at its relaxed geometry. Source: Alexandria via LeMat-Bulk, functional GGA-PBE.

Unit cell a=4.345 b=4.345 c=11.391 alpha=90.00 beta=90.00 gamma=90.00
Sites, in units of the cell vectors:
Al (0.500, 0.000, 0.869)
Al (0.500, 0.000, 0.131)
Au (0.000, 0.000, 0.000)
Al (0.500, 0.500, 0.690)
Al (0.000, 0.500, 0.131)
Pa (0.000, 0.000, 0.685)
Pa (0.000, 0.000, 0.315)
Al (0.500, 0.000, 0.500)
Al (0.000, 0.500, 0.500)
Al (0.500, 0.500, 0.310)
Al (0.000, 0.500, 0.869)

total energy	-55.22	eV/cell
density	6.8	g/cm3
D(E_F)	8.6	states/eV/f.u.
SG	P4/mmm

Crystalline PaAlAu at its relaxed geometry. Source: Alexandria via LeMat-Bulk, functional GGA-PBE.

Unit cell a=4.695 b=4.695 c=4.695 alpha=60.00 beta=60.00 gamma=60.00
Sites, in units of the cell vectors:
Pa (0.500, 0.500, 0.500)
Au (0.250, 0.250, 0.250)
Al (0.000, 0.000, 0.000)

total energy	-17.12	eV/cell
density	10.3	g/cm3
D(E_F)	3.7	states/eV/f.u.
SG	F-43m

Crystalline Pa2AlAu3 at its relaxed geometry. Source: Alexandria via LeMat-Bulk, functional GGA-PBE.

Unit cell a=3.258 b=4.722 c=8.183 alpha=90.00 beta=90.00 gamma=90.00
Sites, in units of the cell vectors:
Au (0.500, 0.000, 0.838)
Pa (0.000, 0.500, 0.996)
Au (0.500, 0.000, 0.180)
Au (0.500, 0.500, 0.652)
Al (0.500, 0.500, 0.329)
Pa (0.000, 0.000, 0.506)

total energy	-35.34	eV/cell
density	14.2	g/cm3
D(E_F)	6.9	states/eV/f.u.
SG	Pmm2

Crystalline PaAlAu3 at its relaxed geometry. Source: Alexandria via LeMat-Bulk, functional GGA-PBE.

Unit cell a=5.540 b=5.815 c=12.650 alpha=90.00 beta=90.00 gamma=90.00
Sites, in units of the cell vectors:
Au (0.985, 0.966, 0.892)
Au (0.015, 0.034, 0.108)
Au (0.515, 0.466, 0.608)
Pa (0.000, 0.500, 0.000)
Au (0.627, 0.155, 0.250)
Al (0.680, 0.181, 0.750)
Au (0.515, 0.466, 0.892)
Au (0.485, 0.534, 0.108)
Pa (0.000, 0.500, 0.500)
Al (0.180, 0.319, 0.250)
Au (0.485, 0.534, 0.392)
Au (0.873, 0.655, 0.250)
Al (0.320, 0.819, 0.250)
Al (0.820, 0.681, 0.750)
Au (0.127, 0.345, 0.750)
Pa (0.500, 0.000, 0.500)
Au (0.985, 0.966, 0.608)
Au (0.015, 0.034, 0.392)
Pa (0.500, 0.000, 0.000)
Au (0.373, 0.845, 0.750)

total energy	-98.91	eV/cell
density	13.8	g/cm3
D(E_F)	5.6	states/eV/f.u.
SG	Pnma

Crystalline Pa2Al3Au4 at its relaxed geometry. Source: Alexandria via LeMat-Bulk, functional GGA-PBE.

Unit cell a=6.023 b=7.742 c=8.227 alpha=90.00 beta=111.47 gamma=90.00
Sites, in units of the cell vectors:
Au (0.310, 0.250, 0.120)
Au (0.821, 0.021, 0.641)
Au (0.321, 0.479, 0.641)
Au (0.810, 0.250, 0.120)
Al (0.983, 0.250, 0.466)
Pa (0.898, 0.404, 0.796)
Al (0.500, 0.500, 0.000)
Au (0.690, 0.750, 0.880)
Au (0.679, 0.521, 0.359)
Pa (0.398, 0.096, 0.796)
Pa (0.602, 0.904, 0.204)
Al (0.000, 0.000, 0.000)
Pa (0.102, 0.596, 0.204)
Au (0.190, 0.750, 0.880)
Al (0.483, 0.250, 0.466)
Al (0.017, 0.750, 0.534)
Al (0.517, 0.750, 0.534)
Au (0.179, 0.979, 0.359)

total energy	-93.58	eV/cell
density	12.4	g/cm3
D(E_F)	12.5	states/eV/f.u.
SG	Cmce

Crystalline Pa4Al12Au at its relaxed geometry. Source: Alexandria via LeMat-Bulk, functional GGA-PBE.

Unit cell a=7.539 b=7.539 c=7.539 alpha=109.47 beta=109.47 gamma=109.47
Sites, in units of the cell vectors:
Al (0.500, 0.250, 0.750)
Pa (0.500, 0.500, 0.500)
Pa (0.000, 0.000, 0.500)
Al (0.750, 0.500, 0.250)
Al (0.000, 0.303, 0.303)
Au (0.000, 0.000, 0.000)
Al (0.303, 0.000, 0.303)
Pa (0.500, 0.000, 0.000)
Al (0.750, 0.250, 0.500)
Al (0.697, 0.000, 0.697)
Al (0.697, 0.697, 0.000)
Al (0.250, 0.750, 0.500)
Pa (0.000, 0.500, 0.000)
Al (0.500, 0.750, 0.250)
Al (0.000, 0.697, 0.697)
Al (0.303, 0.303, 0.000)
Al (0.250, 0.500, 0.750)

total energy	-91.33	eV/cell
density	7.3	g/cm3
D(E_F)	18.8	states/eV/f.u.
SG	Im-3m